[1]
Here is a geometry-optimized PHRuS structure from Alexandria. Energies are from PBE-GGA.

Lattice parameters (Å, degrees): 3.030 3.096 5.919 104.67 101.45 90.22
Positions (direct):
1 P 0.000 0.000 0.000
2 H 0.175 0.181 0.621
3 Ru 0.577 0.587 0.174
4 S 0.945 0.785 0.598

Output
Polymorph energy (0 for the lowest one) = 0.185 eV/atom
SG = P1


[2]
Here is a geometry-optimized Ta2HgH2 structure from Alexandria. Energies are from PBE-GGA.

Lattice parameters (Å, degrees): 5.260 5.260 5.260 139.15 139.15 59.14
Positions (direct):
1 Ta 0.170 0.170 0.000
2 Ta 0.830 0.830 0.000
3 Hg 0.500 0.500 0.000
4 H 0.250 0.750 0.500
5 H 0.750 0.250 0.500

Output
Energy = -30.315 eV per cell
SG = I4/mmm